[1]
The following is a PBE+U calculation of an optimized crystal structure of NiOs2F2, from the Alexandria database.

Structure (CIF):
```
data_NiOs2F2
_cell_length_a 7.594
_cell_length_b 7.594
_cell_length_c 2.645
_cell_angle_alpha 90.00
_cell_angle_beta 90.00
_cell_angle_gamma 90.00
_space_group_name_H-M_alt 'P 4/m b m'
_space_group_IT_number 127
_space_group_name_Hall '-P 4 2ab'
loop_
_atom_site_label
_atom_site_type_symbol
_atom_site_fract_x
_atom_site_fract_y
_atom_site_fract_z
Ni1 Ni 0.000 0.000 0.000
Os1 Os 0.103 0.397 0.500
F1 F 0.238 0.738 0.000
```

## Properties
Crystal system ... tetragonal
Spin magnetization ... 2.206 μB per cell
VASP energy ... -5.241 eV per atom



[2]
The following is a PBE+U calculation of an optimized crystal structure of Ni3PF, from the Alexandria database.

Structure (CIF):
```
data_Ni3PF
_cell_length_a 4.114
_cell_length_b 4.114
_cell_length_c 4.114
_cell_angle_alpha 90.00
_cell_angle_beta 90.00
_cell_angle_gamma 90.00
_space_group_name_H-M_alt 'P m -3 m'
_space_group_IT_number 221
_space_group_name_Hall '-P 4 2 3'
loop_
_atom_site_label
_atom_site_type_symbol
_atom_site_fract_x
_atom_site_fract_y
_atom_site_fract_z
Ni1 Ni 0.000 0.000 0.500
P1 P 0.000 0.000 0.000
F1 F 0.500 0.500 0.500
```

## Properties
Energy above the most stable polymorph in this dataset ... 547 meV per atom
Crystal system ... cubic
Spin magnetization ... 0.000 μB per cell
VASP energy ... -2.255 eV per atom



[3]
The following is a PBE+U calculation of an optimized crystal structure of NiPF3, from the Alexandria database.

Structure (CIF):
```
data_NiPF3
_cell_length_a 4.104
_cell_length_b 4.104
_cell_length_c 4.104
_cell_angle_alpha 90.00
_cell_angle_beta 90.00
_cell_angle_gamma 90.00
_space_group_name_H-M_alt 'P m -3 m'
_space_group_IT_number 221
_space_group_name_Hall '-P 4 2 3'
loop_
_atom_site_label
_atom_site_type_symbol
_atom_site_fract_x
_atom_site_fract_y
_atom_site_fract_z
Ni1 Ni 0.000 0.000 0.000
P1 P 0.500 0.500 0.500
F1 F 0.000 0.500 0.500
```

## Properties
Energy above the most stable polymorph in this dataset ... 429 meV per atom
Crystal system ... cubic
Spin magnetization ... 2.068 μB per cell
VASP energy ... -3.201 eV per atom



[4]
The following is a PBE+U calculation of an optimized crystal structure of NiPF3, from the Alexandria database.

Structure (CIF):
```
data_NiPF3
_cell_length_a 4.005
_cell_length_b 4.005
_cell_length_c 4.005
_cell_angle_alpha 90.00
_cell_angle_beta 90.00
_cell_angle_gamma 90.00
_space_group_name_H-M_alt 'P m -3 m'
_space_group_IT_number 221
_space_group_name_Hall '-P 4 2 3'
loop_
_atom_site_label
_atom_site_type_symbol
_atom_site_fract_x
_atom_site_fract_y
_atom_site_fract_z
Ni1 Ni 0.000 0.000 0.000
P1 P 0.500 0.500 0.500
F1 F 0.000 0.000 0.500
```

## Properties
Energy above the most stable polymorph in this dataset ... 0 meV per atom
Crystal system ... cubic
Spin magnetization ... 1.980 μB per cell
VASP energy ... -3.630 eV per atom



[5]
The following is a PBE+U calculation of an optimized crystal structure of Ni3PF, from the Alexandria database.

Structure (CIF):
```
data_Ni3PF
_cell_length_a 4.047
_cell_length_b 4.047
_cell_length_c 4.047
_cell_angle_alpha 90.00
_cell_angle_beta 90.00
_cell_angle_gamma 90.00
_space_group_name_H-M_alt 'P m -3 m'
_space_group_IT_number 221
_space_group_name_Hall '-P 4 2 3'
loop_
_atom_site_label
_atom_site_type_symbol
_atom_site_fract_x
_atom_site_fract_y
_atom_site_fract_z
Ni1 Ni 0.000 0.000 0.500
P1 P 0.500 0.500 0.500
F1 F 0.000 0.000 0.000
```

## Properties
Energy above the most stable polymorph in this dataset ... 0 meV per atom
Crystal system ... cubic
Spin magnetization ... 3.332 μB per cell
VASP energy ... -2.802 eV per atom



[6]
The following is a PBE+U calculation of an optimized crystal structure of NiP2F, from the Alexandria database.

Structure (CIF):
```
data_NiP2F
_cell_length_a 5.674
_cell_length_b 5.674
_cell_length_c 5.674
_cell_angle_alpha 90.00
_cell_angle_beta 90.00
_cell_angle_gamma 90.00
_space_group_name_H-M_alt 'F m -3 m'
_space_group_IT_number 225
_space_group_name_Hall '-F 4 2 3'
loop_
_atom_site_label
_atom_site_type_symbol
_atom_site_fract_x
_atom_site_fract_y
_atom_site_fract_z
Ni1 Ni 0.000 0.000 0.000
P1 P 0.250 0.250 0.250
F1 F 0.000 0.000 0.500
```

## Properties
Energy above the most stable polymorph in this dataset ... 0 meV per atom
Crystal system ... cubic
Spin magnetization ... 0.000 μB per cell
VASP energy ... -3.664 eV per atom



[7]
The following is a PBE+U calculation of an optimized crystal structure of NiPF5, from the Alexandria database.

Structure (CIF):
```
data_NiPF5
_cell_length_a 5.104
_cell_length_b 5.775
_cell_length_c 7.393
_cell_angle_alpha 96.90
_cell_angle_beta 106.71
_cell_angle_gamma 104.79
_space_group_name_H-M_alt 'P -1'
_space_group_IT_number 2
loop_
_space_group_symop_operation_xyz
'x,y,z'
'-x,-y,-z'
loop_
_atom_site_label
_atom_site_type_symbol
_atom_site_fract_x
_atom_site_fract_y
_atom_site_fract_z
Ni1 Ni 0.000 0.000 0.000
Ni2 Ni 0.000 0.000 0.500
P1 P 0.258 0.567 0.269
F1 F 0.088 0.956 0.764
F2 F 0.261 0.812 0.457
F3 F 0.275 0.763 0.124
F4 F 0.304 0.341 0.092
F5 F 0.391 0.351 0.624
```

## Properties
Crystal system ... triclinic
Spin magnetization ... 3.974 μB per cell
VASP energy ... -4.553 eV per atom



[8]
The following is a PBE+U calculation of an optimized crystal structure of NiP2F, from the Alexandria database.

Structure (CIF):
```
data_NiP2F
_cell_length_a 4.928
_cell_length_b 4.928
_cell_length_c 10.879
_cell_angle_alpha 90.00
_cell_angle_beta 90.00
_cell_angle_gamma 90.00
_space_group_name_H-M_alt 'I -4 2 d'
_space_group_IT_number 122
_space_group_name_Hall 'I -4 2bw'
loop_
_atom_site_label
_atom_site_type_symbol
_atom_site_fract_x
_atom_site_fract_y
_atom_site_fract_z
Ni1 Ni 0.000 0.000 0.000
P1 P 0.202 0.250 0.125
F1 F 0.000 0.000 0.500
```

## Properties
Energy above the most stable polymorph in this dataset ... 97 meV per atom
Crystal system ... tetragonal
Spin magnetization ... 0.000 μB per cell
VASP energy ... -3.566 eV per atom



Looking at V for the records above, in order, we have 76.3 69.6 69.1 64.2 66.3 45.7 98.7 66.0 Å³/f.u..